Compound: UNbRu6
Source: the Alexandria database
Functional: PBE
Structure: optimized geometry

Cell lengths 5.592, 5.592, 3.940 Å; angles 90.00, 90.00, 90.00 degrees
Fractional coordinates of all 8 atoms:
U (0.000, 0.000, 0.000)
Nb (0.500, 0.500, 0.000)
Ru (0.000, 0.500, 0.000)
Ru (0.254, 0.254, 0.500)
Ru (0.254, 0.746, 0.500)
Ru (0.500, 0.000, 0.000)
Ru (0.746, 0.254, 0.500)
Ru (0.746, 0.746, 0.500)

V = 123.2 Å³ per cell
electronic total energy = -9.852 eV/atom